# 1
A plane-wave DFT calculation with PBE was carried out for crystalline Ca2YCr at its relaxed geometry. Values from VASP.

Structure (Quantum ESPRESSO input):
```
&SYSTEM
  ibrav = 0, nat = 4, ntyp = 3
/
ATOMIC_SPECIES
Y 88.91 Y.upf
Cr 52.00 Cr.upf
Ca 40.08 Ca.upf
CELL_PARAMETERS angstrom
-4.320 1.888 0.590
-1.914 -4.348 -0.097
0.576 -0.374 5.422
ATOMIC_POSITIONS angstrom
Y -0.669 -2.361 2.663
Cr -1.872 0.757 3.006
Ca 0.000 0.000 0.000
Ca -3.117 -1.230 0.246
```

Output
size of the total moment = 4.89 μB/f.u.
energy above the most stable polymorph in this dataset = 154 meV/atom
space group = P4/mmm (123)
formation energy from the elements = 0.43 eV/atom

=====

# 2
A plane-wave DFT calculation with PBE was carried out for crystalline CeThInPb at its relaxed geometry. Values from VASP.

Structure (Quantum ESPRESSO input):
```
&SYSTEM
  ibrav = 0, nat = 4, ntyp = 4
/
ATOMIC_SPECIES
Pb 207.20 Pb.upf
Ce 140.12 Ce.upf
Th 232.04 Th.upf
In 114.82 In.upf
CELL_PARAMETERS angstrom
5.523 0.000 0.000
2.762 4.783 0.000
2.762 1.594 4.510
ATOMIC_POSITIONS angstrom
Pb 8.285 4.783 3.382
Ce 5.523 3.189 2.255
Th 0.000 0.000 0.000
In 2.762 1.594 1.127
```

Output
size of the total moment = 2.01 μB/f.u.
energy above the most stable polymorph in this dataset = 94 meV/atom
space group = F-43m (216)
formation energy from the elements = -0.23 eV/atom

=====

# 3
A plane-wave DFT calculation with PBE was carried out for crystalline CrSi4W at its relaxed geometry. Values from VASP.

Structure (Quantum ESPRESSO input):
```
&SYSTEM
  ibrav = 0, nat = 6, ntyp = 3
/
ATOMIC_SPECIES
Cr 52.00 Cr.upf
Si 28.09 Si.upf
W 183.84 W.upf
CELL_PARAMETERS angstrom
-1.403 -2.181 1.819
4.327 0.364 1.016
-3.348 4.532 2.849
ATOMIC_POSITIONS angstrom
Cr -0.212 1.358 2.842
Si 2.217 1.486 2.112
Si -2.642 1.230 3.573
Si -1.019 -0.957 2.203
Si 0.594 3.672 3.481
W 1.462 -0.908 1.418
```

Output
size of the total moment = 0.00 μB/f.u.
ΔE_f (raw) = -0.342 eV/atom
energy above the most stable polymorph in this dataset = 0 meV/atom
space group = C2/m (12)

=====

# 4
A plane-wave DFT calculation with PBE was carried out for crystalline LiLaY2Ni at its relaxed geometry. Values from VASP.

Structure (Quantum ESPRESSO input):
```
&SYSTEM
  ibrav = 0, nat = 5, ntyp = 4
/
ATOMIC_SPECIES
Y 88.91 Y.upf
Ni 58.69 Ni.upf
Li 6.94 Li.upf
La 138.91 La.upf
CELL_PARAMETERS angstrom
5.430 0.000 0.000
0.000 5.430 0.000
0.000 0.000 5.300
ATOMIC_POSITIONS angstrom
Y 0.000 2.715 0.000
Y 2.715 0.000 0.000
Ni 0.000 0.000 0.000
Li 2.715 2.715 2.650
La 0.000 0.000 2.650
```

Output
size of the total moment = 0.00 μB/f.u.
space group = P4/mmm (123)
formation energy from the elements = 0.01 eV/atom